VASP calculation (PBE) on a relaxed structure of La3Ce2N4.

The calculation puts the electronic total energy at -0.2897 hartree per atom. Its crystal system is monoclinic. The calculation puts the uncorrected formation energy at -1.22 eV per atom.

The space group is C2/m (No. 12) and the conventional cell measures 12.368, 3.681 and 9.189 Å, with angles of 90.00, 121.75 and 90.00 degrees. The inequivalent atoms are La at (0.000, 0.000, 0.000), La at (0.199, 0.000, 0.804), Ce at (0.107, 0.500, 0.383), N at (0.101, 0.500, 0.896) and N at (0.199, 0.000, 0.323).